Density functional theory data (PBE-GGA) for Er2MgSi after structural relaxation.

Calculated values
uncorrected energy	-4.346	eV/atom
crystal system	tetragonal
magnetization	0.00	μB/f.u.
energy relative to the elements, uncorrected	-0.31	eV/atom
D(E_F)	2.45	states/eV/f.u.
calculated volume	90.8	Å³/f.u.

a b c (Å): 4.0750 4.7214 4.7214
angles (deg): 90.00 90.00 90.00
Positions (direct):
Si: 0.5000 0.0000 0.0000
Er: 0.0000 0.5000 0.0000
Er: 0.0000 0.0000 0.5000
Mg: 0.5000 0.5000 0.5000



Density functional theory data (PBE-GGA) for Tc2PRu after structural relaxation.

Calculated values
uncorrected energy	-9.041	eV/atom
energy of formation	-0.19	eV/atom
crystal system	orthorhombic
magnetization	0.00	μB/f.u.
D(E_F)	3.29	states/eV/f.u.
calculated volume	55.4	Å³/f.u.

a b c (Å): 5.2237 5.2237 3.8921
angles (deg): 90.00 90.00 148.58
Positions (direct):
Tc: 0.3192 0.6808 0.0000
Tc: 0.9477 0.0523 0.5000
Ru: 0.6809 0.3191 0.5000
P: 0.5522 0.4478 0.0000



Which formula does entry 1 have?
Er2MgSi